A geometry-optimized KNbPS6 structure. Source: the Alexandria database, functional PBE.

Properties
crystal system: trigonal
symmetry: No. 149
E_form (uncorrected): -0.43 eV per atom
total energy: -45.229 eV/cell
total moment: 0.00 μB per cell

Cell lengths 6.1485, 6.1485, 7.2667 Å; angles 90.00, 90.00, 60.00 degrees
Atoms (fractional coordinates):
S  0.0254  0.3636  0.3176
S  0.6110  0.0254  0.3176
S  0.3636  0.0254  0.6824
S  0.6109  0.3636  0.6824
S  0.0254  0.6110  0.6824
S  0.3635  0.6110  0.3176
K  0.0000  0.0000  0.0000
Nb  0.6666  0.6667  0.4999
P  0.3333  0.3333  0.5000